First-principles (PBE-GGA) data for crystalline GaFe3Pt4 at its relaxed geometry, as listed in Alexandria.

Unit cell a=3.7420 b=3.9172 c=7.8094 alpha=90.00 beta=90.00 gamma=90.00
Space group Pmmm (No. 47)
Unique sites:
Ga (0.0000, 0.0000, 0.0000) [1 per cell]
Fe (0.0000, 0.0000, 0.5000) [1 per cell]
Fe (0.0000, 0.5000, 0.2625) [2 per cell]
Pt (0.5000, 0.0000, 0.2531) [2 per cell]
Pt (0.5000, 0.5000, 0.0000) [1 per cell]
Pt (0.5000, 0.5000, 0.5000) [1 per cell]

Density = 14.76 g/cm3
E_form = -334 meV/atom
Raw total energy = -6.9059 eV per atom
N(E_F) = 0.556 states/eV/atom

***

First-principles (PBE-GGA) data for crystalline GaFe3Pt12 at its relaxed geometry, as listed in Alexandria.

Unit cell a=3.9339 b=3.9339 c=15.6049 alpha=90.00 beta=90.00 gamma=90.00
Space group P4/mmm (No. 123)
Unique sites:
Ga (0.0000, 0.0000, 0.0000) [1 per cell]
Fe (0.0000, 0.0000, 0.2498) [2 per cell]
Fe (0.0000, 0.0000, 0.5000) [1 per cell]
Pt (0.0000, 0.5000, 0.1278) [4 per cell]
Pt (0.0000, 0.5000, 0.3757) [4 per cell]
Pt (0.5000, 0.5000, 0.0000) [1 per cell]
Pt (0.5000, 0.5000, 0.2516) [2 per cell]
Pt (0.5000, 0.5000, 0.5000) [1 per cell]

Density = 17.73 g/cm3
E_form = -272 meV/atom
Raw total energy = -6.5788 eV per atom
N(E_F) = 0.841 states/eV/atom

***

Record-wise magnetic moment values, in μB/f.u.: 9.89, 13.96